Crystalline Ba2Ru2Au at its relaxed geometry, computed with PBE.

```
Ba2Ru2Au
1.0
7.164 0.000 0.000
0.000 7.164 0.000
0.000 0.000 5.012
Ba Ru Au
4 4 2
Direct
0.186 0.314 0.000
0.314 0.814 0.000
0.686 0.186 0.000
0.814 0.686 0.000
0.116 0.616 0.500
0.384 0.116 0.500
0.616 0.884 0.500
0.884 0.384 0.500
0.000 0.000 0.500
0.500 0.500 0.500
```

Symmetry: No. 127
Volume, Å³ per cell: 257
Magnetic moment, μB/f.u.: 1.0
Energy above the lowest structure with this stoichiometry, meV/atom: 0
Energy relative to the elements, kJ per mole of atoms: 25.1


Crystalline Ba2RuAu at its relaxed geometry, computed with PBE.

```
Ba2RuAu
1.0
3.781 0.000 0.000
0.000 3.794 0.000
0.000 0.000 8.307
Ba Ru Au
2 1 1
Direct
0.000 0.000 0.233
0.000 0.000 0.767
0.500 0.500 0.000
0.500 0.500 0.500
```

Symmetry: No. 47
Volume, Å³ per cell: 119
Magnetic moment, μB/f.u.: 0.5
Energy relative to the elements, kJ per mole of atoms: 9.7